No. 1
Here is RbGaPdRu2 after structural relaxation from Alexandria via LeMat-Bulk. Energies are from GGA-PBE.

The structure belongs to space group P4/mmm (No. 123); the cell edges are 4.8895, 4.8895 and 4.9495 Å and the angles 90.00°, 90.00° and 90.00°. The distinct sites, in fractional coordinates, are Rb at (0.0000, 0.0000, 0.0000), Ga at (0.5000, 0.5000, 0.5000), Pd at (0.0000, 0.0000, 0.5000) and Ru at (0.0000, 0.5000, 0.0000).

As for the total energy: -3.071 eV/atom.

=====

No. 2
Here is RbScGaPd2 after structural relaxation from Alexandria via LeMat-Bulk. Energies are from GGA-PBE.

The structure belongs to space group P4/mmm (No. 123); the cell edges are 5.0308, 5.0308 and 5.5192 Å and the angles 90.00°, 90.00° and 90.00°. The distinct sites, in fractional coordinates, are Rb at (0.0000, 0.0000, 0.0000), Sc at (0.5000, 0.5000, 0.5000), Ga at (0.5000, 0.5000, 0.0000) and Pd at (0.0000, 0.5000, 0.5000).

As for the total energy: -3.948 eV/atom.

=====

No. 3
Here is RbTl2GaPd after structural relaxation from Alexandria via LeMat-Bulk. Energies are from GGA-PBE.

The structure belongs to space group P4/mmm (No. 123); the cell edges are 5.5257, 5.5257 and 5.0327 Å and the angles 90.00°, 90.00° and 90.00°. The distinct sites, in fractional coordinates, are Rb at (0.0000, 0.0000, 0.0000), Tl at (0.0000, 0.5000, 0.5000), Ga at (0.5000, 0.5000, 0.0000) and Pd at (0.5000, 0.5000, 0.5000).

As for the total energy: -2.861 eV/atom.

=====

No. 4
Here is RbTlGa2Pd after structural relaxation from Alexandria via LeMat-Bulk. Energies are from GGA-PBE.

The structure belongs to space group P4/mmm (No. 123); the cell edges are 5.0178, 5.0178 and 5.6049 Å and the angles 90.00°, 90.00° and 90.00°. The distinct sites, in fractional coordinates, are Rb at (0.0000, 0.0000, 0.0000), Tl at (0.5000, 0.5000, 0.0000), Ga at (0.0000, 0.5000, 0.5000) and Pd at (0.5000, 0.5000, 0.5000).

As for the total energy: -3.001 eV/atom.

=====

No. 5
Here is Rb2YGaPd after structural relaxation from Alexandria via LeMat-Bulk. Energies are from GGA-PBE.

The structure belongs to space group P4/mmm (No. 123); the cell edges are 6.5145, 6.5145 and 4.8240 Å and the angles 90.00°, 90.00° and 90.00°. The distinct sites, in fractional coordinates, are Rb at (0.0000, 0.5000, 0.0000), Y at (0.0000, 0.0000, 0.5000), Ga at (0.5000, 0.5000, 0.5000) and Pd at (0.5000, 0.5000, 0.0000).

As for the total energy: -2.834 eV/atom.

=====

No. 6
Here is RbYGaPd2 after structural relaxation from Alexandria via LeMat-Bulk. Energies are from GGA-PBE.

The structure belongs to space group P4/mmm (No. 123); the cell edges are 4.9022, 4.9022 and 5.3696 Å and the angles 90.00°, 90.00° and 90.00°. The distinct sites, in fractional coordinates, are Rb at (0.0000, 0.0000, 0.0000), Y at (0.5000, 0.5000, 0.0000), Ga at (0.0000, 0.0000, 0.5000) and Pd at (0.0000, 0.5000, 0.5000).

As for the total energy: -3.840 eV/atom.

=====

No. 7
Here is GaRe3Pd after structural relaxation from Alexandria via LeMat-Bulk. Energies are from GGA-PBE.

The structure belongs to space group Pm-3m (No. 221); the cell edges are 4.7168, 4.7168 and 4.7168 Å and the angles 90.00°, 90.00° and 90.00°. The distinct sites, in fractional coordinates, are Ga at (0.0000, 0.0000, 0.0000), Re at (0.0000, 0.5000, 0.5000) and Pd at (0.5000, 0.5000, 0.5000).

The offset from the most stable computed form is 0.619 eV per atom.

=====

No. 8
Here is GaRePd2 after structural relaxation from Alexandria via LeMat-Bulk. Energies are from GGA-PBE.

The structure belongs to space group I-42d (No. 122); the cell edges are 3.7594, 3.7594 and 18.3466 Å and the angles 90.00°, 90.00° and 90.00°. The distinct sites, in fractional coordinates, are Ga at (0.0000, 0.0000, 0.0000), Re at (0.0000, 0.0000, 0.5000) and Pd at (0.2494, 0.2500, 0.1250).

As for the total energy: -6.086 eV/atom.

=====

No. 9
Here is GaRe3Pd after structural relaxation from Alexandria via LeMat-Bulk. Energies are from GGA-PBE.

The structure belongs to space group Pm-3m (No. 221); the cell edges are 4.4867, 4.4867 and 4.4867 Å and the angles 90.00°, 90.00° and 90.00°. The distinct sites, in fractional coordinates, are Ga at (0.0000, 0.0000, 0.0000), Re at (0.0000, 0.0000, 0.5000) and Pd at (0.5000, 0.5000, 0.5000).

The offset from the most stable computed form is 0.000 eV per atom.

=====

No. 10
Here is Ga3RePd after structural relaxation from Alexandria via LeMat-Bulk. Energies are from GGA-PBE.

The structure belongs to space group Pm-3m (No. 221); the cell edges are 4.7863, 4.7863 and 4.7863 Å and the angles 90.00°, 90.00° and 90.00°. The distinct sites, in fractional coordinates, are Ga at (0.0000, 0.0000, 0.5000), Re at (0.0000, 0.0000, 0.0000) and Pd at (0.5000, 0.5000, 0.5000).

The offset from the most stable computed form is 0.000 eV per atom.

=====

No. 11
Here is SrGa2RePd after structural relaxation from Alexandria via LeMat-Bulk. Energies are from GGA-PBE.

The structure belongs to space group P4/mmm (No. 123); the cell edges are 4.8534, 4.8534 and 5.0446 Å and the angles 90.00°, 90.00° and 90.00°. The distinct sites, in fractional coordinates, are Sr at (0.0000, 0.0000, 0.0000), Ga at (0.0000, 0.5000, 0.5000), Re at (0.5000, 0.5000, 0.5000) and Pd at (0.5000, 0.5000, 0.0000).

As for the total energy: -5.049 eV/atom.

=====

No. 12
Here is TiGaRePd after structural relaxation from Alexandria via LeMat-Bulk. Energies are from GGA-PBE.

The structure belongs to space group F-43m (No. 216); the cell edges are 6.2097, 6.2097 and 6.2097 Å and the angles 90.00°, 90.00° and 90.00°. The distinct sites, in fractional coordinates, are Ti at (0.0000, 0.0000, 0.0000), Ga at (0.0000, 0.0000, 0.5000), Re at (0.2500, 0.2500, 0.7500) and Pd at (0.2500, 0.2500, 0.2500).

As for the total energy: -7.488 eV/atom.